Record 1
# Tb2CuGe3Pt4 | the Alexandria database | PBE | relaxed
# - formation energy (eV per atom) = -0.842
# - calculated total energy (eV for the cell shown) = -59.8
# - N(E_F) (states/eV/cell) = 5.055
data_Tb2CuGe3Pt4
_chemical_formula_sum 'Tb2 Cu1 Ge3 Pt4'
_symmetry_space_group_name_H-M 'P -4 m 2'
_symmetry_Int_Tables_number 115
_symmetry_space_group_name_Hall 'P -4 -2'
_cell_length_a 4.263
_cell_length_b 4.263
_cell_length_c 10.222
_cell_angle_alpha 90.00
_cell_angle_beta 90.00
_cell_angle_gamma 90.00
loop_
_atom_site_label
_atom_site_fract_x
_atom_site_fract_y
_atom_site_fract_z
Tb1 0.000 0.500 0.240
Cu1 0.500 0.500 0.000
Ge1 0.000 0.000 0.000
Ge2 0.000 0.500 0.634
Pt1 0.000 0.000 0.500
Pt2 0.000 0.500 0.869
Pt3 0.500 0.500 0.500

---

Record 2
# Nd3Sm5S8 | the Alexandria database | PBE | relaxed
# - formation energy (no corrections) (meV per atom) = -2020
# - calculated total energy (eV for the cell shown) = -309.7
# - N(E_F) (states/eV/cell) = 27.720
data_Nd3Sm5S8
_chemical_formula_sum 'Nd9 Sm15 S24'
_symmetry_space_group_name_H-M 'R -3 m'
_symmetry_Int_Tables_number 166
_symmetry_space_group_name_Hall '-R 3 2"'
_cell_length_a 8.0635
_cell_length_b 8.0635
_cell_length_c 19.7706
_cell_angle_alpha 90.00
_cell_angle_beta 90.00
_cell_angle_gamma 120.00
loop_
_atom_site_label
_atom_site_fract_x
_atom_site_fract_y
_atom_site_fract_z
Nd1 0.0000 0.5000 0.0000
Sm1 0.0000 0.0000 0.0000
Sm2 0.0000 0.0000 0.5000
Sm3 0.0000 0.5000 0.5000
S1 0.0000 0.0000 0.2480
S2 0.0026 0.5013 0.7513

---

Record 3
# Be2CuTe | the Alexandria database | PBE | relaxed
# - formation energy (no corrections) (meV per atom) = 301
# - calculated total energy (eV for the cell shown) = -54.0
# - N(E_F) (states/eV/cell) = 5.537
data_Be2CuTe
_chemical_formula_sum 'Be8 Cu4 Te4'
_symmetry_space_group_name_H-M 'I -4 2 d'
_symmetry_Int_Tables_number 122
_symmetry_space_group_name_Hall 'I -4 2bw'
_cell_length_a 4.056
_cell_length_b 4.056
_cell_length_c 15.230
_cell_angle_alpha 90.00
_cell_angle_beta 90.00
_cell_angle_gamma 90.00
loop_
_atom_site_label
_atom_site_fract_x
_atom_site_fract_y
_atom_site_fract_z
Be1 0.128 0.250 0.125
Cu1 0.000 0.000 0.000
Te1 0.000 0.000 0.500

---

Number 1: V 18.6 Å³ per atom. Number 2: V 23.2 Å³ per atom. Number 3: V 15.7 Å³ per atom.